No. 1
Density functional theory data (PBE) for a relaxed Pr6Sm2Sc crystal.

The structure in extended XYZ format:
```
18
Lattice="7.273 0.000 0.000 0.000 7.347 -4.650 0.000 -4.498 14.503" Properties=species:S:1:pos:R:3 pbc="T T T"
Pr 1.756 1.161 10.280
Pr 7.272 -1.931 10.886
Pr 5.516 1.687 -0.427
Pr 5.392 -0.263 5.353
Sm 0.000 1.125 2.502
Sm 7.273 1.723 7.351
Pr 0.001 4.779 -1.033
Pr 1.756 1.687 -0.426
Pr 5.393 3.111 4.500
Pr 3.635 -1.144 8.543
Sc 0.000 -2.249 7.251
Pr 1.880 3.112 4.500
Pr 5.517 1.161 10.279
Sm 3.636 2.549 7.429
Sm 3.637 0.299 2.424
Pr 1.880 -0.263 5.353
Pr 3.638 3.992 1.310
Sc 3.636 3.673 -2.325
```

Values from the calculation:
calculated total energy	-86.20	eV per cell
calculated density	6.4	g/cm3
calculated formation energy	0.15	eV/atom

=====

No. 2
Density functional theory data (PBE) for a relaxed Cs2TlSb crystal.

The structure in extended XYZ format:
```
8
Lattice="4.858 0.000 0.000 0.000 7.684 -1.725 0.000 -1.084 11.231" Properties=species:S:1:pos:R:3 pbc="T T T"
Cs 1.215 1.325 4.446
Sb 1.215 4.747 2.015
Cs 3.644 2.164 0.385
Tl 1.215 0.290 8.507
Cs 3.644 5.275 5.060
Cs 1.215 4.436 9.121
Tl 3.644 6.310 0.999
Sb 3.644 1.853 7.490
```

Values from the calculation:
calculated total energy	-19.15	eV per cell
calculated density	4.8	g/cm3
ΔE_f (raw)	-0.344	eV/atom

=====

No. 3
Density functional theory data (PBE) for a relaxed Cr2Ir2W crystal.

The structure in extended XYZ format:
```
5
Lattice="-1.788 1.788 5.864 1.788 -1.788 5.864 1.788 1.788 -5.864" Properties=species:S:1:pos:R:3 pbc="T T T"
Ir 0.000 0.000 7.102
Cr 1.788 0.000 2.932
Ir 0.000 0.000 4.626
Cr 0.000 1.788 2.932
W 0.000 0.000 0.000
```

Values from the calculation:
calculated total energy	-47.93	eV per cell
calculated density	14.9	g/cm3
calculated formation energy	0.40	eV/atom

=====

Which of these has the lowest calculated total energy?
Pr6Sm2Sc

=====

Copy entry 3 word for word.
Density functional theory data (PBE) for a relaxed Cr2Ir2W crystal.

The structure in extended XYZ format:
```
5
Lattice="-1.788 1.788 5.864 1.788 -1.788 5.864 1.788 1.788 -5.864" Properties=species:S:1:pos:R:3 pbc="T T T"
Ir 0.000 0.000 7.102
Cr 1.788 0.000 2.932
Ir 0.000 0.000 4.626
Cr 0.000 1.788 2.932
W 0.000 0.000 0.000
```

Values from the calculation:
calculated total energy	-47.93	eV per cell
calculated density	14.9	g/cm3
calculated formation energy	0.40	eV/atom

=====

What is the calculated density in the third record?
14.9 g/cm3